Entry 1:
First-principles (GGA-PBE) data for an optimized crystal structure of AcGeIr2, as listed in Alexandria.

- Excess energy over the best structure of this formula in the dataset: 0.387 eV per atom
- Energy of formation from the pure elements: -0.123 eV/atom
- E: -6.73 eV/atom
- Total moment: 0.00 μB per cell
- Crystal system: orthorhombic

```
AcGeIr2
1.0
-0.0166 6.2783 -2.7125
-5.5539 0.5990 1.4203
2.5704 3.6791 8.4998
Ir Ac Ge
8 4 4
Direct
0.3034 0.7500 0.9022
0.0000 0.0000 0.0000
0.3034 0.2500 0.0978
0.6966 0.7500 0.9022
0.5000 0.5000 0.5000
0.0000 0.5000 0.0000
0.6966 0.2500 0.0978
0.5000 0.0000 0.5000
0.0000 0.7500 0.3687
0.0000 0.2500 0.6313
0.5000 0.2500 0.8281
0.5000 0.7500 0.1719
0.0000 0.7500 0.7636
0.0000 0.2500 0.2364
0.5000 0.7500 0.6944
0.5000 0.2500 0.3056
```

=====

Entry 2:
First-principles (GGA-PBE) data for an optimized crystal structure of Ac2GeIr, as listed in Alexandria.

- Energy of formation from the pure elements: 0.395 eV/atom
- E: -5.03 eV/atom
- Total moment: 0.24 μB per cell
- Crystal system: trigonal

```
Ac2GeIr
1.0
-4.2377 0.5301 1.4843
-3.4619 -1.6071 -2.4237
-2.0087 -8.1688 4.0685
Ac Ir Ge
2 1 1
Direct
0.8997 0.8997 0.3010
0.1003 0.1003 0.6990
0.0000 0.0000 0.0000
0.5000 0.5000 0.5000
```

=====

Entry 3:
First-principles (GGA-PBE) data for an optimized crystal structure of Ac2Ge2Ir, as listed in Alexandria.

- Energy of formation from the pure elements: -0.765 eV/atom
- E: -6.03 eV/atom
- Total moment: 0.00 μB per cell
- Crystal system: monoclinic

```
Ac2Ge2Ir
1.0
-0.4446 -4.0277 1.6997
5.4988 -3.0004 0.0084
2.4237 1.6331 10.1841
Ge Ir Ac
4 2 4
Direct
0.6122 0.8930 0.8827
0.3878 0.1070 0.1173
0.0397 0.3345 0.5861
0.9603 0.6655 0.4139
0.5532 0.2000 0.6937
0.4468 0.8000 0.3063
0.7103 0.2199 0.3595
0.1001 0.6914 0.1083
0.8999 0.3086 0.8917
0.2897 0.7801 0.6405
```

=====

Entry 4:
First-principles (GGA-PBE) data for an optimized crystal structure of Ac2GeIr, as listed in Alexandria.

- Energy of formation from the pure elements: -0.661 eV/atom
- E: -6.08 eV/atom
- Total moment: 0.00 μB per cell
- Crystal system: monoclinic

```
Ac2GeIr
1.0
-2.9283 -2.2781 -2.2688
-1.5014 -3.2115 5.1624
-5.0850 7.4183 -0.8854
Ir Ac Ge
2 4 2
Direct
0.7500 0.6495 0.2877
0.2500 0.3505 0.7123
0.7500 0.2217 0.9111
0.7500 0.2234 0.4454
0.2500 0.7766 0.5546
0.2500 0.7783 0.0889
0.2500 0.3585 0.2096
0.7500 0.6415 0.7904
```

=====

Entry 5:
First-principles (GGA-PBE) data for an optimized crystal structure of Ac7Ge2Ir2, as listed in Alexandria.

- Excess energy over the best structure of this formula in the dataset: 0.123 eV per atom
- Energy of formation from the pure elements: -0.401 eV/atom
- E: -5.47 eV/atom
- Total moment: 0.00 μB per cell
- Crystal system: orthorhombic

```
Ac7Ge2Ir2
1.0
-6.2493 3.2115 -2.2105
1.6521 -1.7432 -7.2058
-2.2652 -6.9132 1.1538
Ir Ge Ac
2 2 7
Direct
0.7313 0.0000 0.2687
0.2687 0.0000 0.7313
0.7641 0.5000 0.7641
0.2359 0.5000 0.2359
0.5000 0.2551 0.0000
0.5000 0.2306 0.5000
0.5000 0.7694 0.5000
0.0000 0.2551 0.5000
0.0000 0.0000 0.0000
0.5000 0.7449 0.0000
0.0000 0.7449 0.5000
```

=====

Entry 6:
First-principles (GGA-PBE) data for an optimized crystal structure of Ac5Ge2Ir2, as listed in Alexandria.

- Energy of formation from the pure elements: -0.613 eV/atom
- E: -5.89 eV/atom
- Total moment: 0.00 μB per cell
- Crystal system: orthorhombic

```
Ac5Ge2Ir2
1.0
-3.4826 3.7796 6.3089
3.2457 -5.5499 5.1166
4.8679 6.5465 4.0131
Ac Ge Ir
10 4 4
Direct
0.0276 0.6589 0.2989
0.5276 0.8411 0.2989
0.0000 0.0000 0.0000
0.4724 0.1589 0.7011
0.8264 0.8411 0.7011
0.9724 0.3411 0.7011
0.5000 0.5000 0.0000
0.3264 0.6589 0.7011
0.1736 0.1589 0.2989
0.6736 0.3411 0.2989
0.8861 0.6120 0.0000
0.1139 0.3880 0.0000
0.6139 0.1120 0.0000
0.3861 0.8880 0.0000
0.1939 0.0000 0.6122
0.8061 0.0000 0.3878
0.6939 0.5000 0.6122
0.3061 0.5000 0.3878
```